w) Computed, not measured: a relaxed Ba3As crystal at the PBE-GGA level of DFT.

## Properties
N(E_F)   3.44 states/eV/f.u.
Calculated volume   334.4 Å³ per cell

POSCAR file:
```
Ba3As
1.0
6.941 0.000 0.000
0.000 6.941 0.000
0.000 0.000 6.941
Ba As
6 2
Direct
0.000 0.250 0.500
0.000 0.750 0.500
0.250 0.500 0.000
0.500 0.000 0.250
0.500 0.000 0.750
0.750 0.500 0.000
0.000 0.000 0.000
0.500 0.500 0.500
```

x) Computed, not measured: a relaxed Ba3As crystal at the PBE-GGA level of DFT.

## Properties
N(E_F)   5.28 states/eV/f.u.
Calculated volume   157.0 Å³ per cell

POSCAR file:
```
Ba3As
1.0
0.000 4.282 4.282
4.282 0.000 4.282
4.282 4.282 0.000
Ba As
3 1
Direct
0.000 0.000 0.000
0.250 0.250 0.250
0.750 0.750 0.750
0.500 0.500 0.500
```

y) Computed, not measured: a relaxed Ba3As crystal at the PBE-GGA level of DFT.

## Properties
N(E_F)   3.61 states/eV/f.u.
Calculated volume   221.6 Å³ per cell

POSCAR file:
```
Ba3As
1.0
4.353 0.000 0.000
0.000 4.533 0.000
0.000 0.000 11.229
Ba As
3 1
Direct
0.000 0.000 0.000
0.000 0.500 0.307
0.500 0.500 0.675
0.500 0.000 0.209
```

Which structure is most stable? y), by 236 meV/atom over the runner-up.

w) Computed, not measured: a relaxed Ba3As crystal at the PBE-GGA level of DFT.

## Properties
N(E_F)   4.37 states/eV/f.u.
Calculated volume   274.3 Å³ per cell

POSCAR file:
```
Ba3As
1.0
6.497 0.000 0.000
0.000 6.497 0.000
0.000 0.000 6.497
Ba As
3 1
Direct
0.000 0.000 0.500
0.000 0.500 0.000
0.500 0.000 0.000
0.000 0.000 0.000
```

x) Computed, not measured: a relaxed Ba3As crystal at the PBE-GGA level of DFT.

## Properties
N(E_F)   2.60 states/eV/f.u.
Calculated volume   162.8 Å³ per cell

POSCAR file:
```
Ba3As
1.0
5.765 3.329 1.414
-5.765 3.329 1.414
0.000 -6.657 1.414
Ba As
3 1
Direct
0.000 0.500 0.500
0.500 0.000 0.500
0.500 0.500 0.000
0.000 0.000 0.000
```

y) Computed, not measured: a relaxed Ba3As crystal at the PBE-GGA level of DFT.

## Properties
N(E_F)   1.68 states/eV/f.u.
Calculated volume   220.5 Å³ per cell

POSCAR file:
```
Ba3As
1.0
4.652 0.000 0.000
-2.326 4.029 0.000
0.000 0.000 11.764
Ba As
3 1
Direct
0.000 0.000 0.000
0.667 0.333 0.342
0.667 0.333 0.658
0.000 0.000 0.500
```

z) Computed, not measured: a relaxed Ba3As crystal at the PBE-GGA level of DFT.

## Properties
N(E_F)   3.58 states/eV/f.u.
Calculated volume   193.1 Å³ per cell

POSCAR file:
```
Ba3As
1.0
-2.116 2.823 8.083
2.116 -2.823 8.083
2.116 2.823 -8.083
Ba As
3 1
Direct
0.000 0.000 0.000
0.342 0.842 0.500
0.658 0.158 0.500
0.500 0.500 0.000
```

Which structure is most stable? z), by 25 meV/atom over the runner-up.

w) Computed, not measured: a relaxed Ba3As crystal at the PBE-GGA level of DFT.

## Properties
N(E_F)   3.31 states/eV/f.u.
Calculated volume   159.5 Å³ per cell

POSCAR file:
```
Ba3As
1.0
-2.589 2.589 5.948
2.589 -2.589 5.948
2.589 2.589 -5.948
Ba As
3 1
Direct
0.000 0.000 0.000
0.250 0.750 0.500
0.750 0.250 0.500
0.500 0.500 0.000
```

x) Computed, not measured: a relaxed Ba3As crystal at the PBE-GGA level of DFT.

## Properties
N(E_F)   2.44 states/eV/f.u.
Calculated volume   198.1 Å³ per cell

POSCAR file:
```
Ba3As
1.0
5.041 0.000 0.000
0.000 5.277 0.000
0.000 0.000 7.449
Ba As
3 1
Direct
0.000 0.000 0.000
0.000 0.500 0.478
0.500 0.000 0.426
0.500 0.500 0.178
```

Which structure is most stable? x), by 82 meV/atom over the runner-up.

w) Computed, not measured: a relaxed Ba3As crystal at the PBE-GGA level of DFT.

## Properties
N(E_F)   3.70 states/eV/f.u.
Calculated volume   398.5 Å³ per cell

POSCAR file:
```
Ba3As
1.0
4.520 0.000 0.000
0.000 7.893 0.000
0.000 0.000 11.168
Ba As
6 2
Direct
0.250 0.021 0.173
0.250 0.250 0.537
0.250 0.479 0.173
0.750 0.521 0.827
0.750 0.750 0.463
0.750 0.979 0.827
0.250 0.750 0.674
0.750 0.250 0.326
```

x) Computed, not measured: a relaxed Ba3As crystal at the PBE-GGA level of DFT.

## Properties
N(E_F)   2.58 states/eV/f.u.
Calculated volume   363.2 Å³ per cell

POSCAR file:
```
Ba3As
1.0
-2.608 2.608 13.353
2.608 -2.608 13.353
2.608 2.608 -13.353
Ba As
6 2
Direct
0.000 0.500 0.500
0.118 0.118 0.000
0.250 0.750 0.500
0.500 0.000 0.500
0.750 0.250 0.500
0.882 0.882 0.000
0.412 0.412 0.000
0.588 0.588 0.000
```

y) Computed, not measured: a relaxed Ba3As crystal at the PBE-GGA level of DFT.

## Properties
N(E_F)   4.03 states/eV/f.u.
Calculated volume   217.9 Å³ per cell

POSCAR file:
```
Ba3As
1.0
-2.200 6.382 3.881
2.200 -6.382 3.881
2.200 6.382 -3.881
Ba As
3 1
Direct
0.000 0.000 0.000
0.298 0.463 0.835
0.628 0.463 0.165
0.305 0.805 0.500
```

z) Computed, not measured: a relaxed Ba3As crystal at the PBE-GGA level of DFT.

## Properties
N(E_F)   4.18 states/eV/f.u.
Calculated volume   310.5 Å³ per cell

POSCAR file:
```
Ba3As
1.0
7.851 0.000 0.000
-3.926 6.799 0.000
0.000 0.000 5.817
Ba As
6 2
Direct
0.182 0.364 0.250
0.182 0.818 0.250
0.364 0.182 0.750
0.636 0.818 0.250
0.818 0.182 0.750
0.818 0.636 0.750
0.333 0.667 0.750
0.667 0.333 0.250
```

Which structure is most stable? y), by 8 meV/atom over the runner-up.

w) Computed, not measured: a relaxed Ba3As crystal at the PBE-GGA level of DFT.

## Properties
N(E_F)   3.97 states/eV/f.u.
Calculated volume   405.5 Å³ per cell

POSCAR file:
```
Ba3As
1.0
5.743 -7.761 0.000
5.743 7.761 0.000
0.000 0.000 4.548
Ba As
6 2
Direct
0.125 0.875 0.750
0.193 0.463 0.750
0.463 0.193 0.250
0.537 0.807 0.750
0.807 0.537 0.250
0.875 0.125 0.250
0.271 0.729 0.250
0.729 0.271 0.750
```

x) Computed, not measured: a relaxed Ba3As crystal at the PBE-GGA level of DFT.

## Properties
N(E_F)   2.67 states/eV/f.u.
Calculated volume   193.8 Å³ per cell

POSCAR file:
```
Ba3As
1.0
4.166 0.000 0.000
0.000 4.166 0.000
0.000 0.000 11.162
Ba As
3 1
Direct
0.000 0.000 0.000
0.500 0.500 0.346
0.500 0.500 0.654
0.000 0.000 0.500
```

Which structure is most stable? w), by 19 meV/atom over the runner-up.

w) Computed, not measured: a relaxed BaAs5 crystal at the PBE-GGA level of DFT.

## Properties
N(E_F)   1.33 states/eV/f.u.
Calculated volume   157.8 Å³ per cell

POSCAR file:
```
BaAs5
1.0
6.335 -1.855 0.000
6.335 1.855 0.000
-3.396 0.000 6.714
Ba As
1 5
Direct
0.000 0.000 0.000
0.247 0.247 0.711
0.353 0.353 0.213
0.686 0.686 0.444
0.711 0.711 0.946
0.887 0.887 0.477
```

x) Computed, not measured: a relaxed BaAs5 crystal at the PBE-GGA level of DFT.

## Properties
N(E_F)   4.08 states/eV/f.u.
Calculated volume   150.9 Å³ per cell

POSCAR file:
```
BaAs5
1.0
0.000 4.226 4.226
4.226 0.000 4.226
4.226 4.226 0.000
Ba As
1 5
Direct
0.000 0.000 0.000
0.393 0.393 0.393
0.393 0.393 0.822
0.393 0.822 0.393
0.750 0.750 0.750
0.822 0.393 0.393
```

y) Computed, not measured: a relaxed BaAs5 crystal at the PBE-GGA level of DFT.

## Properties
N(E_F)   3.09 states/eV/f.u.
Calculated volume   147.9 Å³ per cell

POSCAR file:
```
BaAs5
1.0
2.807 -6.859 0.000
2.807 6.859 0.000
0.000 0.000 3.841
Ba As
1 5
Direct
0.000 0.000 0.000
0.231 0.769 0.500
0.357 0.643 0.000
0.500 0.500 0.500
0.643 0.357 0.000
0.769 0.231 0.500
```

z) Computed, not measured: a relaxed BaAs5 crystal at the PBE-GGA level of DFT.

## Properties
N(E_F)   2.69 states/eV/f.u.
Calculated volume   155.1 Å³ per cell

POSCAR file:
```
BaAs5
1.0
5.077 0.000 0.000
0.000 2.623 5.824
0.000 -2.623 5.824
Ba As
1 5
Direct
0.000 0.000 0.000
0.000 0.293 0.293
0.000 0.712 0.712
0.500 0.205 0.205
0.500 0.417 0.417
0.500 0.783 0.783
```

Which structure is most stable? w), by 6 meV/atom over the runner-up.

w) Computed, not measured: a relaxed BaAs5 crystal at the PBE-GGA level of DFT.

## Properties
N(E_F)   1.99 states/eV/f.u.
Calculated volume   144.0 Å³ per cell

POSCAR file:
```
BaAs5
1.0
6.178 0.000 0.000
-3.089 5.350 0.000
0.000 0.000 4.357
Ba As
1 5
Direct
0.000 0.000 0.000
0.000 0.500 0.500
0.333 0.667 0.000
0.500 0.000 0.500
0.500 0.500 0.500
0.667 0.333 0.000
```

x) Computed, not measured: a relaxed BaAs5 crystal at the PBE-GGA level of DFT.

## Properties
N(E_F)   3.76 states/eV/f.u.
Calculated volume   142.0 Å³ per cell

POSCAR file:
```
BaAs5
1.0
3.734 0.000 0.000
0.000 3.734 0.000
0.000 0.000 10.182
Ba As
1 5
Direct
0.000 0.000 0.000
0.000 0.000 0.322
0.000 0.000 0.678
0.500 0.500 0.231
0.500 0.500 0.500
0.500 0.500 0.769
```

Which structure is most stable? w), by 184 meV/atom over the runner-up.

w) Computed, not measured: a relaxed Ba5As3 crystal at the PBE-GGA level of DFT.

## Properties
N(E_F)   2.51 states/eV/f.u.
Calculated volume   311.0 Å³ per cell

POSCAR file:
```
Ba5As3
1.0
4.396 -6.876 0.000
4.396 6.876 0.000
0.000 0.000 5.145
Ba As
5 3
Direct
0.000 0.000 0.000
0.000 0.500 0.000
0.286 0.286 0.500
0.500 0.000 0.000
0.714 0.714 0.500
0.167 0.833 0.500
0.500 0.500 0.000
0.833 0.167 0.500
```

x) Computed, not measured: a relaxed Ba5As3 crystal at the PBE-GGA level of DFT.

## Properties
N(E_F)   1.61 states/eV/f.u.
Calculated volume   617.9 Å³ per cell

POSCAR file:
```
Ba5As3
1.0
9.557 0.000 0.000
-4.779 8.277 0.000
0.000 0.000 7.811
Ba As
10 6
Direct
0.000 0.258 0.250
0.000 0.742 0.750
0.258 0.000 0.250
0.258 0.258 0.750
0.333 0.667 0.000
0.333 0.667 0.500
0.667 0.333 0.000
0.667 0.333 0.500
0.742 0.000 0.750
0.742 0.742 0.250
0.000 0.393 0.750
0.000 0.607 0.250
0.393 0.000 0.750
0.393 0.393 0.250
0.607 0.000 0.250
0.607 0.607 0.750
```

y) Computed, not measured: a relaxed Ba5As3 crystal at the PBE-GGA level of DFT.

## Properties
N(E_F)   3.87 states/eV/f.u.
Calculated volume   623.7 Å³ per cell

POSCAR file:
```
Ba5As3
1.0
4.020 -8.901 0.000
4.020 8.901 0.000
-2.361 0.000 8.715
Ba As
10 6
Direct
0.007 0.621 0.791
0.149 0.363 0.605
0.279 0.279 0.032
0.363 0.149 0.605
0.379 0.993 0.209
0.621 0.007 0.791
0.637 0.851 0.395
0.721 0.721 0.968
0.851 0.637 0.395
0.993 0.379 0.209
0.047 0.047 0.276
0.253 0.747 0.500
0.342 0.658 0.000
0.658 0.342 0.000
0.747 0.253 0.500
0.953 0.953 0.724
```

Which structure is most stable? x), by 48 meV/atom over the runner-up.